[1]
A plane-wave DFT calculation with PBE was carried out for a geometry-optimized Li2AgP structure.

```
Li2AgP
1.0
-2.003 3.648 1.291
-1.237 -3.857 1.621
5.066 0.767 5.689
Li P Ag
4 2 2
direct
0.833 0.666 0.419 Li
0.833 0.666 0.081 Li
0.167 0.334 0.919 Li
0.167 0.334 0.581 Li
0.833 0.666 0.750 P
0.167 0.334 0.250 P
0.500 0.000 0.250 Ag
0.500 0.000 0.750 Ag
```

Computed properties:
The value obtained for the energy of formation is -0.479 eV per atom. The density of states at the Fermi level is 0.8 states/eV/cell. Its symmetry is P6_3/mmc (194).

=====

[2]
A plane-wave DFT calculation with PBE was carried out for a geometry-optimized UNbS structure.

```
UNbS
1.0
3.261 0.000 0.000
0.000 3.261 0.000
-1.631 -1.631 5.343
S U Nb
1 1 1
direct
0.306 0.306 0.612 S
0.997 0.997 0.995 U
0.697 0.697 0.394 Nb
```

Computed properties:
The density of states at the Fermi level is 6.2 states/eV/cell. As for the total DFT energy (no corrections): -8.814 eV per atom. Its symmetry is I4mm (107).

=====

[3]
A plane-wave DFT calculation with PBE was carried out for a geometry-optimized Ce4Ga2N structure.

```
Ce4Ga2N
1.0
-4.494 -1.664 -0.043
0.844 -2.384 4.071
-0.443 8.045 1.982
N Ce Ga
1 4 2
direct
0.000 0.000 0.000 N
0.833 0.833 0.666 Ce
0.000 0.500 0.000 Ce
0.167 0.167 0.334 Ce
0.500 0.000 0.000 Ce
0.633 0.633 0.266 Ga
0.367 0.367 0.734 Ga
```

Computed properties:
The density of states at the Fermi level is 17.8 states/eV/cell. As for the total DFT energy (no corrections): -6.069 eV per atom. Its symmetry is I4/mmm (139).

=====

[4]
A plane-wave DFT calculation with PBE was carried out for a geometry-optimized Y2WSe structure.

```
Y2WSe
1.0
-2.868 1.340 1.151
-1.761 -2.344 -1.659
0.343 -4.913 6.575
Y Se W
2 1 1
direct
0.000 0.000 0.946 Y
0.500 0.500 0.305 Y
0.000 0.000 0.553 Se
0.500 0.500 0.695 W
```

Computed properties:
The density of states at the Fermi level is 4.4 states/eV/cell. As for the total DFT energy (no corrections): -7.365 eV per atom. Its symmetry is P4mm (99).

=====

[5]
A plane-wave DFT calculation with PBE was carried out for a geometry-optimized PrDy4Te5 structure.

```
PrDy4Te5
1.0
-2.955 -0.548 3.167
-3.117 -0.560 -3.006
5.857 -14.901 -0.125
Te Dy Pr
5 4 1
direct
0.105 0.105 0.210 Te
0.695 0.695 0.389 Te
0.500 0.500 0.000 Te
0.305 0.305 0.611 Te
0.895 0.895 0.790 Te
0.208 0.208 0.416 Dy
0.792 0.792 0.584 Dy
0.595 0.595 0.190 Dy
0.405 0.405 0.810 Dy
0.000 0.000 0.000 Pr
```

Computed properties:
The density of states at the Fermi level is 5.5 states/eV/cell. The energy relative to the lowest polymorph listed for this composition is 0.006 eV per atom. Its symmetry is I4/mmm (139).

=====

[6]
A plane-wave DFT calculation with PBE was carried out for a geometry-optimized PmDy2Au4 structure.

```
PmDy2Au4
1.0
-1.850 2.629 -3.873
2.218 -4.160 -3.884
-5.643 -1.827 1.456
Dy Au Pm
2 4 1
direct
0.000 0.214 0.786 Dy
0.000 0.786 0.214 Dy
0.500 0.000 0.500 Au
0.000 0.712 0.712 Au
0.500 0.500 0.000 Au
0.000 0.288 0.288 Au
0.500 0.500 0.500 Pm
```

Computed properties:
The value obtained for the energy of formation is -0.695 eV per atom. The density of states at the Fermi level is 5.1 states/eV/cell. Its symmetry is Cmmm (65).

=====

[7]
A plane-wave DFT calculation with PBE was carried out for a geometry-optimized PmGdInRh structure.

```
PmGdInRh
1.0
-3.054 3.432 2.411
-1.196 -0.659 5.006
1.994 3.179 3.583
Rh Pm Gd In
1 1 1 1
direct
0.750 0.750 0.750 Rh
0.000 0.000 0.000 Pm
0.500 0.500 0.500 Gd
0.250 0.250 0.250 In
```

Computed properties:
The value obtained for the energy of formation is -0.492 eV per atom. The density of states at the Fermi level is 3.6 states/eV/cell. Its symmetry is F-43m (216).

=====

[8]
A plane-wave DFT calculation with PBE was carried out for a geometry-optimized KMoP2S structure.

```
KMoP2S
1.0
-2.681 1.527 -4.027
-4.264 -0.276 2.734
0.622 4.971 1.470
P K Mo S
2 1 1 1
direct
0.000 0.500 0.000 P
0.500 0.000 0.000 P
0.000 0.000 0.000 K
0.500 0.500 0.500 Mo
0.000 0.000 0.500 S
```

Computed properties:
The density of states at the Fermi level is 5.5 states/eV/cell. The energy relative to the lowest polymorph listed for this composition is 2.308 eV per atom. Its symmetry is P4/mmm (123).

=====

[9]
A plane-wave DFT calculation with PBE was carried out for a geometry-optimized Li5Pd2 structure.

```
Li5Pd2
1.0
-1.619 3.642 3.619
-5.861 0.234 -2.857
1.766 -6.471 3.297
Li Pd
10 4
direct
0.018 0.268 0.536 Li
0.750 0.500 0.000 Li
0.586 0.925 0.172 Li
0.482 0.732 0.464 Li
0.914 0.752 0.828 Li
0.086 0.248 0.172 Li
0.414 0.075 0.828 Li
0.518 0.268 0.536 Li
0.250 0.500 0.000 Li
0.982 0.732 0.464 Li
0.624 0.356 0.248 Pd
0.124 0.891 0.248 Pd
0.376 0.644 0.752 Pd
0.876 0.109 0.752 Pd
```

Computed properties:
The value obtained for the energy of formation is -0.274 eV per atom. The density of states at the Fermi level is 4.2 states/eV/cell. The energy relative to the lowest polymorph listed for this composition is 0.009 eV per atom. Its symmetry is Ibam (72).

=====

[10]
A plane-wave DFT calculation with PBE was carried out for a geometry-optimized BRh3Pb structure.

```
BRh3Pb
1.0
17.927 0.000 -3.761
0.000 5.265 0.000
-6.571 0.000 4.602
Rh Pb B
12 4 4
direct
0.091 0.745 0.989 Rh
0.268 0.082 0.869 Rh
0.591 0.755 0.489 Rh
0.909 0.255 0.011 Rh
0.232 0.582 0.631 Rh
0.015 0.251 0.604 Rh
0.409 0.245 0.511 Rh
0.485 0.751 0.896 Rh
0.732 0.918 0.131 Rh
0.985 0.749 0.396 Rh
0.515 0.249 0.104 Rh
0.768 0.418 0.369 Rh
0.137 0.231 0.195 Pb
0.863 0.769 0.805 Pb
0.637 0.269 0.695 Pb
0.363 0.731 0.305 Pb
0.614 0.089 0.095 B
0.386 0.911 0.905 B
0.886 0.589 0.405 B
0.114 0.411 0.595 B
```

Computed properties:
The value obtained for the energy of formation is -0.074 eV per atom. The density of states at the Fermi level is 16.6 states/eV/cell. The energy relative to the lowest polymorph listed for this composition is 0.149 eV per atom. Its symmetry is P2_1/c (14).

=====

[11]
A plane-wave DFT calculation with PBE was carried out for a geometry-optimized BaSc3W structure.

```
BaSc3W
1.0
5.094 0.000 0.000
0.000 5.094 0.000
0.000 0.000 5.094
Sc W Ba
3 1 1
direct
0.000 0.500 0.000 Sc
0.500 0.000 0.000 Sc
0.000 0.000 0.500 Sc
0.500 0.500 0.500 W
0.000 0.000 0.000 Ba
```

Computed properties:
The value obtained for the energy of formation is 2.032 eV per atom. The density of states at the Fermi level is 8.6 states/eV/cell. The energy relative to the lowest polymorph listed for this composition is 1.592 eV per atom. Its symmetry is Pm-3m (221).

=====

[12]
A plane-wave DFT calculation with PBE was carried out for a geometry-optimized ZrNiS2Cl structure.

```
ZrNiS2Cl
1.0
-2.969 -0.247 -4.008
-2.605 -3.674 2.157
-3.039 3.356 2.045
S Ni Zr Cl
2 1 1 1
direct
0.500 0.000 0.000 S
0.000 0.500 0.000 S
0.500 0.500 0.500 Ni
0.000 0.000 0.000 Zr
0.000 0.000 0.500 Cl
```

Computed properties:
The density of states at the Fermi level is 10.1 states/eV/cell. The energy relative to the lowest polymorph listed for this composition is 0.019 eV per atom. Its symmetry is P4/mmm (123).

=====

[13]
A plane-wave DFT calculation with PBE was carried out for a geometry-optimized La2Y2Tl7 structure.

```
La2Y2Tl7
1.0
-1.819 4.895 -6.321
0.202 -4.441 -2.577
-7.826 -2.239 0.987
Tl La Y
7 2 2
direct
0.040 0.208 0.607 Tl
0.567 0.771 0.433 Tl
0.960 0.792 0.393 Tl
0.000 0.000 0.000 Tl
0.393 0.208 0.960 Tl
0.607 0.792 0.040 Tl
0.433 0.229 0.567 Tl
0.784 0.500 0.784 La
0.216 0.500 0.216 La
0.260 0.698 0.740 Y
0.740 0.302 0.260 Y
```

Computed properties:
The value obtained for the energy of formation is -0.195 eV per atom. The density of states at the Fermi level is 6.9 states/eV/cell. Its symmetry is C2/m (12).

=====

[14]
A plane-wave DFT calculation with PBE was carried out for a geometry-optimized VMoIr2 structure.

```
VMoIr2
1.0
3.839 0.000 0.000
0.000 3.888 0.000
0.000 0.000 3.888
Ir Mo V
2 1 1
direct
0.000 0.500 0.000 Ir
0.000 0.000 0.500 Ir
0.500 0.500 0.500 Mo
0.500 0.000 0.000 V
```

Computed properties:
The value obtained for the energy of formation is -0.385 eV per atom. The density of states at the Fermi level is 3.7 states/eV/cell. The energy relative to the lowest polymorph listed for this composition is 0.000 eV per atom. Its symmetry is P4/mmm (123).

=====

[15]
A plane-wave DFT calculation with PBE was carried out for a geometry-optimized Al2ZnCu2 structure.

```
Al2ZnCu2
1.0
-2.238 0.169 -2.716
2.602 -0.896 -2.200
-1.238 -6.437 -1.665
Cu Zn Al
2 1 2
direct
0.250 0.750 0.500 Cu
0.750 0.250 0.500 Cu
0.000 0.000 0.000 Zn
0.603 0.603 0.793 Al
0.397 0.397 0.207 Al
```

Computed properties:
The value obtained for the energy of formation is 0.094 eV per atom. The density of states at the Fermi level is 1.9 states/eV/cell. The energy relative to the lowest polymorph listed for this composition is 0.249 eV per atom. Its symmetry is I4/mmm (139).

=====

[16]
A plane-wave DFT calculation with PBE was carried out for a geometry-optimized PaTiCu2 structure.

```
PaTiCu2
1.0
-1.552 -2.315 2.996
-2.710 -1.557 -2.607
2.615 -2.973 -0.943
Ti Pa Cu
1 1 2
direct
0.500 0.500 0.500 Ti
0.500 0.000 0.000 Pa
0.000 0.000 0.500 Cu
0.000 0.500 0.000 Cu
```

Computed properties:
The value obtained for the energy of formation is 0.115 eV per atom. The density of states at the Fermi level is 4.4 states/eV/cell. The energy relative to the lowest polymorph listed for this composition is 0.086 eV per atom. Its symmetry is P4/mmm (123).

=====

[17]
A plane-wave DFT calculation with PBE was carried out for a geometry-optimized CaTa2Bi2 structure.

```
CaTa2Bi2
1.0
-0.219 1.003 5.381
-3.840 -3.867 0.564
1.201 -4.537 3.683
Ta Bi Ca
2 2 1
direct
0.634 0.634 0.732 Ta
0.366 0.366 0.268 Ta
0.250 0.750 0.500 Bi
0.750 0.250 0.500 Bi
0.000 0.000 0.000 Ca
```

Computed properties:
The value obtained for the energy of formation is 0.371 eV per atom. The density of states at the Fermi level is 1.7 states/eV/cell. The energy relative to the lowest polymorph listed for this composition is 0.000 eV per atom. Its symmetry is I4/mmm (139).

=====

[18]
A plane-wave DFT calculation with PBE was carried out for a geometry-optimized YScW2N6 structure.

```
YScW2N6
1.0
-2.073 -0.238 -5.882
5.083 -3.419 -4.199
-3.404 -6.512 -1.083
Sc N Y W
2 12 2 4
direct
0.250 0.270 0.730 Sc
0.750 0.730 0.270 Sc
0.671 0.779 0.995 N
0.861 0.396 0.315 N
0.149 0.627 0.131 N
0.361 0.315 0.396 N
0.329 0.221 0.005 N
0.851 0.373 0.869 N
0.649 0.131 0.627 N
0.171 0.995 0.779 N
0.639 0.685 0.604 N
0.829 0.005 0.221 N
0.351 0.869 0.373 N
0.139 0.604 0.685 N
0.250 0.904 0.096 Y
0.750 0.096 0.904 Y
0.816 0.621 0.791 W
0.684 0.209 0.379 W
0.316 0.791 0.621 W
0.184 0.379 0.209 W
```

Computed properties:
The density of states at the Fermi level is 0.0 states/eV/cell. As for the total DFT energy (no corrections): -9.822 eV per atom. Its symmetry is C2/c (15).

=====

[19]
A plane-wave DFT calculation with PBE was carried out for a geometry-optimized Ho4BeCu3 structure.

```
Ho4BeCu3
1.0
-1.950 2.150 1.818
-1.440 -2.662 1.603
9.762 0.598 9.763
Ho Be Cu
4 1 3
direct
0.000 0.000 0.373 Ho
0.000 0.000 0.627 Ho
0.000 0.000 0.879 Ho
0.000 0.000 0.121 Ho
0.500 0.500 0.000 Be
0.500 0.500 0.755 Cu
0.500 0.500 0.245 Cu
0.500 0.500 0.500 Cu
```

Computed properties:
The value obtained for the energy of formation is -0.179 eV per atom. The density of states at the Fermi level is 5.2 states/eV/cell. Its symmetry is P4/mmm (123).

=====

[20]
A plane-wave DFT calculation with PBE was carried out for a geometry-optimized BaSbH structure.

```
BaSbH
1.0
-0.816 5.684 4.374
1.942 -4.099 5.688
6.930 1.811 -1.061
Ba Sb H
4 4 4
direct
0.247 0.750 0.496 Ba
0.747 0.750 0.004 Ba
0.753 0.250 0.504 Ba
0.253 0.250 0.996 Ba
0.751 0.750 0.517 Sb
0.249 0.250 0.483 Sb
0.251 0.750 0.983 Sb
0.749 0.250 0.017 Sb
0.915 0.250 0.838 H
0.085 0.750 0.162 H
0.585 0.750 0.338 H
0.415 0.250 0.662 H
```

Computed properties:
The density of states at the Fermi level is 0.0 states/eV/cell. The energy relative to the lowest polymorph listed for this composition is 0.085 eV per atom. Its symmetry is Pnma (62).